DFT (GGA+U) results for an optimized crystal structure of PmCoS2O8.

abc: 5.192 5.192 6.909
angles: 90.00 90.00 120.00
Atoms (fractional coordinates):
Pm: 0.000 0.000 0.000
Co: 0.000 0.000 0.500
S: 0.333 0.667 0.209
S: 0.667 0.333 0.791
O: 0.176 0.352 0.275
O: 0.176 0.824 0.275
O: 0.333 0.667 0.992
O: 0.352 0.176 0.725
O: 0.648 0.824 0.275
O: 0.667 0.333 0.008
O: 0.824 0.176 0.725
O: 0.824 0.648 0.725

Values from the calculation:
Space group = P-3m1 (164)
Total magnetic moment = 2.00 μB per formula unit
VASP energy = -6.503 eV per atom